The following is a PBE calculation of a relaxed ScCr2Cu2 crystal, from Alexandria via LeMat-Bulk.

abc: 6.742 6.742 6.742
angles: 151.06 151.06 41.39
Fractional coordinates of all 5 atoms:
Sc  0.000  0.000  0.000
Cr  0.250  0.750  0.500
Cr  0.750  0.250  0.500
Cu  0.402  0.402  0.000
Cu  0.598  0.598  0.000

- energy relative to the elements (eV/atom) = 0.25
- DOS at the Fermi energy (states/eV per atom) = 1.145
- E above lowest polymorph (eV/f.u.) = 0.00
- E_tot (eV per atom) = -6.50
- space group = I4/mmm